Record 1
Density functional theory data (PBE-GGA) for Y19Ho4Er6 after structural relaxation.

Cell and atoms, written as POSCAR:
```
Y19Ho4Er6
1.0
-7.7674 7.2692 -1.7839
-2.8375 -9.4418 -4.3772
1.3957 -1.2370 10.6245
Ho Y Er
4 19 6
Direct
0.3571 0.3571 0.3571 Ho
0.0000 0.6429 0.0000 Ho
0.6429 0.0000 0.0000 Ho
0.0000 0.0000 0.6429 Ho
0.0000 0.7381 0.7381 Y
0.9870 0.3278 0.7836 Y
0.2619 0.0000 0.2619 Y
0.3408 0.0130 0.7966 Y
0.2164 0.5442 0.2034 Y
0.6722 0.6592 0.4558 Y
0.0000 0.2619 0.2619 Y
0.7381 0.0000 0.7381 Y
0.2619 0.2619 0.0000 Y
0.7836 0.9870 0.3278 Y
0.5442 0.2034 0.2164 Y
0.3278 0.7836 0.9870 Y
0.6592 0.4558 0.6722 Y
0.0130 0.7966 0.3408 Y
0.4558 0.6722 0.6592 Y
0.7966 0.3408 0.0130 Y
0.2034 0.2164 0.5442 Y
0.0000 0.0000 0.0000 Y
0.7381 0.7381 0.0000 Y
0.1249 0.6249 0.5000 Er
0.5000 0.8751 0.3751 Er
0.5000 0.1249 0.6249 Er
0.3751 0.5000 0.8751 Er
0.8751 0.3751 0.5000 Er
0.6249 0.5000 0.1249 Er
```

Calculated values
For the density of states at the Fermi level, the calculation gives 46.3 states/eV/f.u.



Record 2
Density functional theory data (PBE-GGA) for PmYAs2Rh5 after structural relaxation.

Cell and atoms, written as POSCAR:
```
PmYAs2Rh5
1.0
-0.4939 -3.8058 -1.8627
0.5697 -1.9179 3.7676
-8.6974 0.3884 1.5128
Pm As Rh Y
1 2 5 1
Direct
0.0000 0.0000 0.5000 Pm
0.5000 0.5000 0.1465 As
0.5000 0.5000 0.8535 As
0.5000 0.0000 0.2641 Rh
0.0000 0.5000 0.2641 Rh
0.5000 0.0000 0.7359 Rh
0.5000 0.5000 0.5000 Rh
0.0000 0.5000 0.7359 Rh
0.0000 0.0000 0.0000 Y
```

Calculated values
For the density of states at the Fermi level, the calculation gives 4.0 states/eV/f.u.



no.,magnetization (μB/cell),final energy (eV/atom),DFT formation energy (eV per formula unit)
1,0.0,-5.423,11.24
2,0.0,-7.117,-6.78